A relaxed structure of MnAuSe, computed with PBEsol.

Summary:
As for the magnetic moment: 3.25 μB per formula unit. The value obtained for the uncorrected formation energy is 0.08 eV per atom. Its space group is I4mm.

Unit cell a=5.7998 b=5.7998 c=5.7998 alpha=149.60 beta=149.60 gamma=43.53
Last column: nearest neighbours and their distance in Å.
Fractional coordinates of all 3 atoms:
Mn 0.0000 0.0000 0.0000  4 Se 2.53, 4 Au 2.79
Au 0.6647 0.6647 0.0000  4 Mn 2.79, 4 Au 3.04, 1 Se 3.11
Se 0.3759 0.3759 0.0000  4 Mn 2.53

***

A relaxed structure of MnAuSe3, computed with PBEsol.

Summary:
As for the magnetic moment: 2.65 μB per formula unit. The value obtained for the uncorrected formation energy is 0.45 eV per atom. Its space group is Pm-3m.

Unit cell a=4.6776 b=4.6776 c=4.6776 alpha=90.00 beta=90.00 gamma=90.00
Last column: nearest neighbours and their distance in Å.
Fractional coordinates of all 5 atoms:
Mn 0.0000 0.0000 0.0000  6 Se 2.34
Au 0.5000 0.5000 0.5000  12 Se 3.31
Se 0.0000 0.0000 0.5000  2 Mn 2.34
Se 0.0000 0.5000 0.0000  2 Mn 2.34
Se 0.5000 0.0000 0.0000  2 Mn 2.34

***

A relaxed structure of MnSiAu2, computed with PBEsol.

Summary:
As for the magnetic moment: 2.72 μB per formula unit. The value obtained for the uncorrected formation energy is 0.03 eV per atom. Its space group is Cmm2.

Unit cell a=2.8695 b=2.8695 c=7.1107 alpha=90.00 beta=90.00 gamma=90.48
Last column: nearest neighbours and their distance in Å.
Fractional coordinates of all 4 atoms:
Mn 0.0000 0.0000 0.0000  4 Si 2.43-2.44
Si 0.5000 0.5000 0.1898  4 Mn 2.43-2.44, 4 Au 2.67-2.69
Au 0.0000 0.0000 0.4363  4 Si 2.67-2.69, 8 Au 2.87-2.98
Au 0.5000 0.5000 0.7423  4 Mn 2.73-2.74, 8 Au 2.87-2.98

***

A relaxed structure of MnSiAu2, computed with PBEsol.

Summary:
As for the magnetic moment: 3.59 μB per formula unit. The value obtained for the uncorrected formation energy is 0.09 eV per atom. Its space group is P4/mmm.

Unit cell a=3.9533 b=3.9533 c=3.9263 alpha=90.00 beta=90.00 gamma=90.00
Last column: nearest neighbours and their distance in Å.
Fractional coordinates of all 4 atoms:
Mn 0.0000 0.0000 0.0000  8 Au 2.79, 4 Si 2.80
Si 0.5000 0.5000 0.0000  8 Au 2.79, 4 Mn 2.80
Au 0.0000 0.5000 0.5000  4 Mn 2.79, 4 Si 2.79, 4 Au 2.80
Au 0.5000 0.0000 0.5000  4 Mn 2.79, 4 Si 2.79, 4 Au 2.80

***

A relaxed structure of MnSiAu2, computed with PBEsol.

Summary:
As for the magnetic moment: 2.91 μB per formula unit. The value obtained for the uncorrected formation energy is 0.07 eV per atom. Its space group is R3m.

Unit cell a=8.6228 b=8.6228 c=8.6228 alpha=19.10 beta=19.10 gamma=19.10
Last column: nearest neighbours and their distance in Å.
Fractional coordinates of all 4 atoms:
Mn 0.0000 0.0000 0.0000  3 Si 2.44, 3 Au 2.70
Si 0.2628 0.2628 0.2628  3 Mn 2.44, 3 Au 2.66
Au 0.5139 0.5139 0.5139  3 Si 2.66, 9 Au 2.86-2.95
Au 0.7507 0.7507 0.7507  3 Mn 2.70, 9 Au 2.86-2.95

***

A relaxed structure of Mn2SiAu, computed with PBEsol.

Summary:
As for the magnetic moment: 3.66 μB per formula unit. The value obtained for the uncorrected formation energy is 0.10 eV per atom. Its space group is R-3m.

Unit cell a=8.4610 b=8.4610 c=8.4610 alpha=18.23 beta=18.23 gamma=18.23
Last column: nearest neighbours and their distance in Å.
Fractional coordinates of all 4 atoms:
Mn 0.2421 0.2421 0.2421  3 Si 2.44, 6 Mn 2.68
Mn 0.7579 0.7579 0.7579  3 Si 2.44, 6 Mn 2.68
Si 0.5000 0.5000 0.5000  6 Mn 2.44, 6 Si 2.68
Au 0.0000 0.0000 0.0000  6 Au 2.68, 6 Mn 2.75

***

A relaxed structure of MnSiAu, computed with PBEsol.

Summary:
As for the magnetic moment: 4.00 μB per formula unit. The value obtained for the uncorrected formation energy is 0.10 eV per atom. Its space group is F-43m.

Unit cell a=4.1800 b=4.1800 c=4.1800 alpha=60.00 beta=60.00 gamma=60.00
Last column: nearest neighbours and their distance in Å.
Fractional coordinates of all 3 atoms:
Mn 0.0000 0.0000 0.0000  4 Au 2.56
Si 0.5000 0.5000 0.5000  4 Au 2.56
Au 0.2500 0.2500 0.2500  4 Mn 2.56, 4 Si 2.56

***

A relaxed structure of MnSiAu2, computed with PBEsol.

Summary:
As for the magnetic moment: 3.52 μB per formula unit. The value obtained for the uncorrected formation energy is 0.09 eV per atom. Its space group is P2/m.

Unit cell a=2.9567 b=4.1518 c=5.2889 alpha=90.00 beta=105.26 gamma=90.00
Last column: nearest neighbours and their distance in Å.
Fractional coordinates of all 4 atoms:
Mn 0.0000 0.0000 0.0000  2 Si 2.64, 8 Au 2.85-2.90, 2 Mn 2.96
Si 0.0000 0.0000 0.5000  4 Au 2.52, 2 Mn 2.64
Au 0.3612 0.5000 0.7409  2 Si 2.52, 1 Au 2.65
Au 0.6388 0.5000 0.2591  2 Si 2.52, 1 Au 2.65

***

A relaxed structure of Mn2SiAu, computed with PBEsol.

Summary:
As for the magnetic moment: 1.13 μB per formula unit. The value obtained for the uncorrected formation energy is 0.16 eV per atom. Its space group is P4/mmm.

Unit cell a=4.1855 b=4.1855 c=2.8397 alpha=90.00 beta=90.00 gamma=90.00
Last column: nearest neighbours and their distance in Å.
Fractional coordinates of all 4 atoms:
Mn 0.0000 0.5000 0.0000  4 Au 2.53, 4 Si 2.53
Mn 0.5000 0.0000 0.0000  4 Au 2.53, 4 Si 2.53
Si 0.0000 0.0000 0.5000  8 Mn 2.53
Au 0.5000 0.5000 0.5000  8 Mn 2.53

***

A relaxed structure of Mn2SiAu, computed with PBEsol.

Summary:
As for the magnetic moment: 5.31 μB per formula unit. The value obtained for the uncorrected formation energy is 0.08 eV per atom. Its space group is I-4m2.

Unit cell a=4.6614 b=4.6614 c=4.6614 alpha=133.05 beta=133.05 gamma=68.57
Last column: nearest neighbours and their distance in Å.
Fractional coordinates of all 4 atoms:
Mn 0.0000 0.0000 0.0000  4 Si 2.63, 4 Mn 2.68, 4 Au 2.68
Mn 0.7500 0.2500 0.5000  4 Au 2.63, 4 Si 2.68, 4 Mn 2.68
Si 0.5000 0.5000 0.0000  8 Mn 2.63-2.68, 4 Au 2.68
Au 0.2500 0.7500 0.5000  8 Mn 2.63-2.68, 4 Si 2.68

***

A relaxed structure of Mn2SnTeAu, computed with PBEsol.

Summary:
As for the magnetic moment: 8.80 μB per formula unit. The value obtained for the uncorrected formation energy is 1.26 eV per atom. Its space group is P4/mmm.

Unit cell a=4.9760 b=4.9760 c=5.7150 alpha=90.00 beta=90.00 gamma=90.00
Last column: nearest neighbours and their distance in Å.
Fractional coordinates of all 5 atoms:
Mn 0.0000 0.5000 0.0000  2 Sn 2.49
Mn 0.5000 0.0000 0.0000  2 Sn 2.49
Sn 0.0000 0.0000 0.0000  4 Mn 2.49
Te 0.0000 0.0000 0.5000  2 Sn 2.86
Au 0.5000 0.5000 0.5000  4 Te 3.52, 8 Mn 3.79

***

A relaxed structure of Sr2MnAu, computed with PBEsol.

Summary:
As for the magnetic moment: 4.39 μB per formula unit. Its space group is P4mm. Its formation energy is 0.07 eV/atom.

Unit cell a=3.6461 b=3.6461 c=8.7737 alpha=90.00 beta=90.00 gamma=90.00
Last column: nearest neighbours and their distance in Å.
Fractional coordinates of all 4 atoms:
Sr 0.0000 0.0000 0.0000  1 Au 3.18, 4 Mn 3.43
Sr 0.5000 0.5000 0.3953  1 Mn 3.05, 4 Au 3.34
Mn 0.5000 0.5000 0.7430  4 Au 2.74, 1 Sr 3.05
Au 0.0000 0.0000 0.6377  4 Mn 2.74

***

A relaxed structure of Sr2MnAu, computed with PBEsol.

Summary:
As for the magnetic moment: 3.64 μB per formula unit. Its space group is Cm. Its formation energy is 0.06 eV/atom.

Unit cell a=6.4994 b=6.4994 c=5.2077 alpha=113.54 beta=113.54 gamma=34.08
Last column: nearest neighbours and their distance in Å.
Fractional coordinates of all 4 atoms:
Sr 0.0000 0.0000 0.0000  4 Au 3.27, 2 Mn 3.45-3.46, 2 Sr 3.50-3.51
Sr 0.2078 0.2078 0.7069  4 Mn 3.38-3.39, 2 Au 3.43, 2 Sr 3.50-3.51
Mn 0.7986 0.7986 0.2976  2 Au 2.59
Au 0.4546 0.4546 0.4551  2 Mn 2.59

***

A relaxed structure of Sr2MnAu, computed with PBEsol.

Summary:
As for the magnetic moment: 4.08 μB per formula unit. Its space group is R-3m. Its formation energy is 0.29 eV/atom.

Unit cell a=8.7367 b=8.7367 c=8.7367 alpha=27.82 beta=27.82 gamma=27.82
Last column: nearest neighbours and their distance in Å.
Fractional coordinates of all 4 atoms:
Sr 0.2419 0.2419 0.2419  3 Au 3.08, 3 Mn 3.34
Sr 0.7581 0.7581 0.7581  3 Au 3.08, 3 Mn 3.34
Mn 0.0000 0.0000 0.0000  6 Sr 3.34
Au 0.5000 0.5000 0.5000  6 Sr 3.08

***

A relaxed structure of Sr2MnAu, computed with PBEsol.

Summary:
As for the magnetic moment: 3.78 μB per formula unit. Its space group is Amm2. Its formation energy is -0.03 eV/atom.

Unit cell a=4.4655 b=6.2412 c=6.2412 alpha=42.78 beta=90.00 gamma=90.00
Last column: nearest neighbours and their distance in Å.
Fractional coordinates of all 4 atoms:
Sr 0.0000 0.0000 0.0000  3 Au 3.33-3.38, 4 Mn 3.36
Sr 0.5000 0.2888 0.2888  3 Mn 3.23-3.53, 4 Au 3.32
Mn 0.5000 0.5921 0.5921  2 Au 2.61
Au 0.0000 0.7090 0.7090  2 Mn 2.61